# PBE+U NaInSnWO6, relaxed
data_NaInSnWO6
_chemical_formula_sum 'Na4 In4 Sn4 W4 O24'
_cell_length_a 8.1666
_cell_length_b 8.1666
_cell_length_c 8.1666
_cell_angle_alpha 90.00
_cell_angle_beta 90.00
_cell_angle_gamma 90.00
_space_group_name_H-M_alt 'F -4 3 m'
_space_group_IT_number 216
_space_group_name_Hall 'F -4 2 3'
loop_
_atom_site_label
_atom_site_type_symbol
_atom_site_fract_x
_atom_site_fract_y
_atom_site_fract_z
_atom_site_occupancy
Na1 Na 0.0000 0.0000 0.0000 1
In1 In 0.2500 0.2500 0.2500 1
Sn1 Sn 0.0000 0.0000 0.5000 1
W1 W 0.2500 0.2500 0.7500 1
O1 O 0.0122 0.2500 0.7500 1
# E_tot (eV for the cell shown): -245.339
# Mass density (g/cm³): 6.54